Run a
{
  "formula": "Be9Nb2Tc",
  "functional": "GGA-PBE",
  "state": "relaxed",
  "sg": "P6_3/mmc (194)",
  "lattice": [[4.4882, 0.0000, 0.0000], [-2.2441, 3.8869, 0.0000], [0.0000, 0.0000, 13.9691]],
  "species": ["Be", "Nb", "Be", "Be", "Be", "Nb", "Be", "Be", "Nb", "Be", "Be", "Tc", "Be", "Be", "Be", "Nb", "Tc", "Be", "Be", "Be", "Be", "Be", "Be", "Be"],
  "frac_coords": [[0.3349, 0.1675, 0.6300], [0.6667, 0.3333, 0.4617], [0.1675, 0.8325, 0.3700], [0.6667, 0.3333, 0.7500], [0.1675, 0.8325, 0.1300], [0.3333, 0.6667, 0.5383], [0.3333, 0.6667, 0.2500], [0.0000, 0.0000, 0.7500], [0.6667, 0.3333, 0.0383], [0.0000, 0.0000, 0.5000], [0.8325, 0.6651, 0.8700], [0.6667, 0.3333, 0.2500], [0.1675, 0.3349, 0.1300], [0.6651, 0.8325, 0.1300], [0.0000, 0.0000, 0.0000], [0.3333, 0.6667, 0.9617], [0.3333, 0.6667, 0.7500], [0.8325, 0.6651, 0.6300], [0.8325, 0.1675, 0.6300], [0.6651, 0.8325, 0.3700], [0.8325, 0.1675, 0.8700], [0.1675, 0.3349, 0.3700], [0.0000, 0.0000, 0.2500], [0.3349, 0.1675, 0.8700]]
}

***

Run b
{
  "formula": "Be9Nb2Tc",
  "functional": "GGA-PBE",
  "state": "relaxed",
  "sg": "R-3m (166)",
  "lattice": [[4.4871, 0.0000, 0.0000], [2.2435, 3.8859, 0.0000], [2.2435, 1.2953, 6.9825]],
  "species": ["Tc", "Be", "Be", "Be", "Nb", "Be", "Be", "Be", "Be", "Nb", "Be", "Be"],
  "frac_coords": [[0.0000, 0.0000, 0.0000], [0.5000, 0.5000, 0.5000], [0.6656, 0.6656, 0.0031], [0.5815, 0.0772, 0.7598], [0.1413, 0.1413, 0.5762], [0.4185, 0.4185, 0.2402], [0.5815, 0.5815, 0.7598], [0.4185, 0.9228, 0.2402], [0.9228, 0.4185, 0.2402], [0.8587, 0.8587, 0.4238], [0.0772, 0.5815, 0.7598], [0.3344, 0.3344, 0.9969]]
}

***

The most stable of them is run b.

***

Run a
{
  "formula": "Be2Nb2Tc",
  "functional": "GGA-PBE",
  "state": "relaxed",
  "sg": "I4/mmm (139)",
  "lattice": [[3.6351, 0.0000, 0.0000], [0.0000, 3.6351, 0.0000], [1.8175, 1.8175, 5.3617]],
  "species": ["Be", "Nb", "Tc", "Be", "Nb"],
  "frac_coords": [[0.5878, 0.5878, 0.8244], [0.7500, 0.2500, 0.5000], [0.0000, 0.0000, 0.0000], [0.4122, 0.4122, 0.1756], [0.2500, 0.7500, 0.5000]]
}

***

Run b
{
  "formula": "Be2Nb2Tc",
  "functional": "GGA-PBE",
  "state": "relaxed",
  "sg": "P4/mbm (127)",
  "lattice": [[6.3527, 0.0000, 0.0000], [0.0000, 6.3527, 0.0000], [0.0000, 0.0000, 3.3098]],
  "species": ["Nb", "Be", "Tc", "Be", "Tc", "Be", "Nb", "Nb", "Nb", "Be"],
  "frac_coords": [[0.6783, 0.8217, 0.5000], [0.3818, 0.8818, 0.0000], [0.0000, 0.0000, 0.0000], [0.6182, 0.1182, 0.0000], [0.5000, 0.5000, 0.0000], [0.1182, 0.3818, 0.0000], [0.1783, 0.6783, 0.5000], [0.8217, 0.3217, 0.5000], [0.3217, 0.1783, 0.5000], [0.8818, 0.6182, 0.0000]]
}

***

The most stable of them is run b.

***

Run a
{
  "formula": "BeNb2VTc",
  "functional": "GGA-PBE",
  "state": "relaxed",
  "sg": "P4/mmm (123)",
  "lattice": [[-4.0473, -1.9177, 0.4591], [0.8289, -0.8510, 3.7523], [-1.7290, 3.9553, 1.2789]],
  "species": ["V", "Be", "Nb", "Nb", "Tc"],
  "frac_coords": [[0.5000, 0.5000, 0.5000], [0.0000, 0.0000, 0.0000], [0.5000, 0.0000, 0.0000], [0.0000, 0.0000, 0.5000], [0.0000, 0.5000, 0.0000]]
}

***

Run b
{
  "formula": "BeNb2VTc",
  "functional": "GGA-PBE",
  "state": "relaxed",
  "sg": "P4/mmm (123)",
  "lattice": [[-2.2630, -2.3978, 3.0734], [0.8000, -3.2258, -1.9276], [3.7834, -0.4954, 2.3993]],
  "species": ["V", "Nb", "Nb", "Be", "Tc"],
  "frac_coords": [[0.0000, 0.5000, 0.0000], [0.5000, 0.0000, 0.0000], [0.0000, 0.0000, 0.5000], [0.0000, 0.0000, 0.0000], [0.5000, 0.5000, 0.5000]]
}

***

The most stable of them is run a.

***

Run a
{
  "formula": "BeNb3Te",
  "functional": "GGA-PBE",
  "state": "relaxed",
  "sg": "Pm-3m (221)",
  "lattice": [[4.4829, 0.0000, 0.0000], [0.0000, 4.4829, 0.0000], [0.0000, 0.0000, 4.4829]],
  "species": ["Nb", "Be", "Nb", "Te", "Nb"],
  "frac_coords": [[0.5000, 0.0000, 0.0000], [0.0000, 0.0000, 0.0000], [0.0000, 0.0000, 0.5000], [0.5000, 0.5000, 0.5000], [0.0000, 0.5000, 0.0000]]
}

***

Run b
{
  "formula": "BeNb3Te",
  "functional": "GGA-PBE",
  "state": "relaxed",
  "sg": "Pm-3m (221)",
  "lattice": [[5.0050, 0.0000, 0.0000], [0.0000, 5.0050, 0.0000], [0.0000, 0.0000, 5.0050]],
  "species": ["Nb", "Te", "Be", "Nb", "Nb"],
  "frac_coords": [[0.0000, 0.5000, 0.0000], [0.0000, 0.0000, 0.0000], [0.5000, 0.5000, 0.5000], [0.0000, 0.0000, 0.5000], [0.5000, 0.0000, 0.0000]]
}

***

The most stable of them is run a.